A plane-wave DFT calculation with PBE+U was carried out for a relaxed NiF3 crystal.

The total magnetic moment comes out at 3.0 μB/f.u. As for the total energy: -3.685 eV/atom.

The structure belongs to space group R-3c (No. 167, hexagonal axes); the cell edges are 4.9424, 4.9424 and 13.1288 Å and the angles 90.00°, 90.00° and 120.00°. The asymmetric unit holds Ni at (0.0000, 0.0000, 0.0000) and F at (0.0000, 0.3660, 0.2500).